No. 1
4
Lattice="3.8784 -0.0043 0.5581 2.5212 2.9472 0.5581 2.2312 1.0260 10.0480" Properties=species:S:1:pos:R:3 comment="PBE-GGA TlReBr2, optimized geometry" n_ef_per_ev_cell=2.7 polymorph_energy_ev_per_atom=0.138 space_group="C2/m, No. 12" formation_energy_uncorrected_ev_per_atom=0.456 magnetic_moment_mub_per_fu=0.00 pbc="T T T"
Re 2.1577 0.9922 2.7910
Tl 6.4731 2.9767 8.3731
Br 0.4394 0.2021 1.0613
Br 3.8760 1.7824 4.5207

No. 2
4
Lattice="-2.9547 0.3988 4.6565 -3.8791 -3.7704 1.1442 0.7936 -3.6274 4.0969" Properties=species:S:1:pos:R:3 comment="PBE-GGA BaTlHgAu, optimized geometry" n_ef_per_ev_cell=3.0 polymorph_energy_ev_per_atom=0.000 space_group="F-43m, No. 216" e_form_ev_per_atom=-0.412 magnetic_moment_mub_per_fu=0.00 pbc="T T T"
Tl -1.5101 -1.7498 2.4744
Au 0.0000 0.0000 0.0000
Hg -3.0201 -3.4995 4.9489
Ba -4.5302 -5.2493 7.4233

No. 3
11
Lattice="-1.3653 0.2913 -5.0141 7.5026 -4.5771 -2.3088 -6.4818 -3.7421 4.2490" Properties=species:S:1:pos:R:3 comment="PBE-GGA Na8InSb2, optimized geometry" n_ef_per_ev_cell=3.1 space_group="Immm, No. 71" formation_energy_uncorrected_ev_per_atom=-0.285 magnetic_moment_mub_per_fu=0.00 pbc="T T T"
Na -0.7609 -4.9575 -0.0808
Na 3.5389 -4.9788 -3.9542
Na 0.6639 -6.2839 -3.2472
Na -5.4649 -4.9023 -1.4981
Na -1.0085 -1.7440 0.1733
Na -3.8835 -3.0491 0.8803
Na 0.4163 -3.0704 -2.9931
Na 5.1203 -3.1256 -1.5758
In -0.6827 0.1456 -2.5070
Sb -2.6869 -3.3121 -2.1621
Sb 2.3424 -4.7158 -0.9118

No. 4
5
Lattice="3.3755 0.0000 0.0000 0.0000 5.5203 -0.0226 0.0000 -2.7279 7.9615" Properties=species:S:1:pos:R:3 comment="PBE-GGA SmHo2Sc2, optimized geometry" n_ef_per_ev_cell=10.0 polymorph_energy_ev_per_atom=0.000 space_group="Amm2, No. 38" e_form_ev_per_atom=0.155 magnetic_moment_mub_per_fu=0.52 pbc="T T T"
Sm 0.6752 0.0014 0.3246
Ho 0.6752 0.0249 6.2784
Ho 2.3629 2.7661 1.5047
Sc 0.6752 2.7780 4.4177
Sc 2.3629 0.0137 3.3524

No. 5
6
Lattice="-2.3440 -1.6592 4.3335 -2.6733 3.3417 2.9518 -5.1869 -0.2854 0.2035" Properties=species:S:1:pos:R:3 comment="PBE-GGA ZnP5, optimized geometry" n_ef_per_ev_cell=2.5 polymorph_energy_ev_per_atom=0.454 space_group="F-43m, No. 216" e_form_ev_per_atom=0.775 magnetic_moment_mub_per_fu=0.00 pbc="T T T"
Zn 0.0000 0.0000 0.0000
P -2.5510 0.3493 1.8722
P -6.2529 0.8561 4.5890
P -3.9130 0.9848 4.4972
P -5.1955 1.6046 2.6341
P -5.0469 -0.6514 3.2574

No. 6
4
Lattice="-2.6154 -0.5160 4.1840 3.1359 -4.1607 1.4471 3.3585 3.4075 2.5196" Properties=species:S:1:pos:R:3 comment="PBE-GGA CaLa2Ho, optimized geometry" n_ef_per_ev_cell=6.2 polymorph_energy_ev_per_atom=0.067 space_group="P4/mmm, No. 123" e_form_ev_per_atom=0.097 magnetic_moment_mub_per_fu=0.00 pbc="T T T"
Ca 1.9395 -0.6346 4.0754
Ho -1.3077 -0.2580 2.0920
La 1.6792 1.7038 1.2598
La 1.5679 -2.0804 0.7235

No. 7
5
Lattice="-3.7809 -2.8952 1.4081 3.1608 -3.7507 0.7754 0.6114 1.4866 4.6985" Properties=species:S:1:pos:R:3 comment="PBE-GGA BaAgRh3, optimized geometry" n_ef_per_ev_cell=7.2 polymorph_energy_ev_per_atom=0.000 space_group="Pm-3m, No. 221" e_form_ev_per_atom=0.904 magnetic_moment_mub_per_fu=1.46 pbc="T T T"
Rh 1.5804 -1.8754 0.3877
Rh 0.3057 0.7433 2.3493
Rh -1.8905 -1.4476 0.7040
Ba -0.0043 -2.5796 3.4410
Ag 0.0000 0.0000 0.0000

No. 8
20
Lattice="-1.0171 -2.8055 -0.4553 0.2734 -1.0070 5.5947 -10.6830 3.6789 1.1954" Properties=species:S:1:pos:R:3 comment="PBE-GGA V11FeB8, optimized geometry" n_ef_per_ev_cell=10.4 space_group="P2/m, No. 10" e_form_ev_per_atom=-0.704 magnetic_moment_mub_per_fu=1.49 pbc="T T T"
V -4.6871 -0.7138 4.8616
V -10.0101 1.1190 5.4588
V -6.7396 0.5801 1.4732
V -1.4166 -1.2527 0.8760
V -7.3637 0.3393 4.3515
V -2.0570 -1.4883 3.7592
V -4.0630 -0.4730 1.9833
V -9.3697 1.3547 2.5756
V 0.1367 -0.5035 2.7973
V -7.9971 2.7536 0.8969
V -2.4125 -0.0817 5.8932
Fe -5.2048 1.3360 3.3950
B -7.2780 2.1501 3.0093
B -1.9931 0.3315 2.4097
B -3.1316 0.5218 3.7808
B -8.4166 2.3404 4.3803
B -4.7223 1.5240 1.1580
B -10.0576 3.3620 1.7505
B -5.6874 1.1479 5.6321
B -0.3521 -0.6901 5.0395

No. 9
5
Lattice="-4.6825 0.1072 -0.3308 -0.4231 -4.6082 4.4956 -0.1616 3.2845 3.3516" Properties=species:S:1:pos:R:3 comment="PBE-GGA KMn2ZnW, optimized geometry" n_ef_per_ev_cell=4.4 polymorph_energy_ev_per_atom=0.000 space_group="P4/mmm, No. 123" e_form_ev_per_atom=1.507 magnetic_moment_mub_per_fu=4.76 pbc="T T T"
Zn -2.6336 -0.6083 3.7582
Mn -0.0808 1.6422 1.6758
Mn -2.3412 0.0536 -0.1654
K -0.2115 -2.3041 2.2478
W 0.0000 0.0000 0.0000

No. 10
8
Lattice="-6.6435 -1.1243 -5.2541 1.4585 -8.4188 -0.0427 -4.4295 -5.1019 -0.2550" Properties=species:S:1:pos:R:3 comment="PBE-GGA CaZr2Pb, optimized geometry" n_ef_per_ev_cell=11.3 space_group="I-42d, No. 122" e_form_ev_per_atom=0.395 magnetic_moment_mub_per_fu=0.00 pbc="T T T"
Pb 0.0000 0.0000 0.0000
Pb -6.8327 -5.4989 -4.0787
Ca -2.5925 -4.7715 -2.6484
Ca -2.7817 -9.1461 -1.4730
Zr -5.2476 -3.0593 -3.4876
Zr -0.8559 -6.6489 -0.6124
Zr -5.3039 -7.1892 -2.1764
Zr -7.8216 -12.3925 -4.8270

No. 11
6
Lattice="-2.0224 1.0491 2.2828 1.9491 -2.4995 0.5971 9.3181 9.6889 3.8025" Properties=species:S:1:pos:R:3 comment="PBE-GGA InBP, optimized geometry" n_ef_per_ev_cell=1.2 space_group="C2/m, No. 12" e_form_ev_per_atom=0.020 magnetic_moment_mub_per_fu=0.00 pbc="T T T"
P 1.9200 0.5625 1.4425
P 7.3248 7.6760 5.2399
In 4.2159 2.6129 2.5342
In 5.0289 5.6257 4.1482
B 8.0404 7.8250 3.5271
B 1.2044 0.4135 3.1552

No. 12
11
Lattice="-0.5672 2.1183 5.2800 -7.4430 -0.3327 -1.6977 2.8899 -6.7849 2.0009" Properties=species:S:1:pos:R:3 comment="PBE-GGA Er8TeRu2, optimized geometry" n_ef_per_ev_cell=9.4 space_group="C2/m, No. 12" formation_energy_uncorrected_ev_per_atom=-0.366 magnetic_moment_mub_per_fu=0.00 pbc="T T T"
Er -5.5226 -2.9005 4.4900
Er -2.7503 -4.6316 5.4823
Er -2.9509 -3.7389 1.7217
Er -5.1694 -0.8703 1.8577
Er 0.0492 -4.1290 3.7256
Er -2.1693 -1.2604 3.8616
Er -2.3700 -0.3676 0.1010
Er 0.4024 -2.0988 1.0933
Te -0.2836 1.0592 2.6400
Ru -0.3402 -4.7679 0.8447
Ru -4.2128 -2.3497 -0.5415

No. 13
7
Lattice="5.8630 0.0000 0.0000 0.0000 5.8630 0.0000 -2.9315 -2.9315 7.5813" Properties=species:S:1:pos:R:3 comment="PBE-GGA TlCd2Pb4, optimized geometry" n_ef_per_ev_cell=5.6 polymorph_energy_ev_per_atom=0.410 space_group="I4/mmm, No. 139" e_form_ev_per_atom=0.449 magnetic_moment_mub_per_fu=0.00 pbc="T T T"
Tl 0.0000 0.0000 0.0000
Cd 2.9315 2.9315 1.5131
Cd 0.0000 0.0000 6.0682
Pb 2.9315 2.9315 4.4095
Pb 0.0000 0.0000 3.1718
Pb 0.0000 2.9315 0.0000
Pb 2.9315 0.0000 0.0000

No. 14
10
Lattice="7.2456 0.0000 0.0000 0.0000 7.2456 0.0000 0.0000 0.0000 3.9047" Properties=species:S:1:pos:R:3 comment="PBE-GGA Ti2WI2, optimized geometry" n_ef_per_ev_cell=8.0 polymorph_energy_ev_per_atom=0.000 space_group="P4/mbm, No. 127" formation_energy_uncorrected_ev_per_atom=0.839 magnetic_moment_mub_per_fu=0.00 pbc="T T T"
I 1.1618 4.7846 1.9524
I 4.7846 6.0838 1.9524
I 6.0838 2.4610 1.9524
I 2.4610 1.1618 1.9524
W 0.0000 0.0000 0.0000
W 3.6228 3.6228 0.0000
Ti 2.5572 6.1800 0.0000
Ti 6.1800 4.6884 0.0000
Ti 4.6884 1.0656 0.0000
Ti 1.0656 2.5572 0.0000

No. 15
3
Lattice="3.3683 0.0000 0.0000 -1.6841 2.9170 0.0000 0.0000 0.0000 7.9272" Properties=species:S:1:pos:R:3 comment="PBE-GGA AgSbPb, optimized geometry" n_ef_per_ev_cell=1.4 polymorph_energy_ev_per_atom=0.114 space_group="P3m1, No. 156" formation_energy_uncorrected_ev_per_atom=0.136 magnetic_moment_mub_per_fu=0.00 pbc="T T T"
Pb 1.6841 0.9723 2.4450
Sb 0.0000 1.9447 5.5616
Ag 0.0000 0.0000 7.8479

No. 16
4
Lattice="5.2426 0.0000 0.0000 2.6213 4.5402 0.0000 2.6213 1.5134 4.2806" Properties=species:S:1:pos:R:3 comment="PBE-GGA YErPbAu, optimized geometry" n_ef_per_ev_cell=3.7 space_group="F-43m, No. 216" e_form_ev_per_atom=-0.608 magnetic_moment_mub_per_fu=0.63 pbc="T T T"
Pb 2.6213 1.5134 1.0701
Y 0.0000 0.0000 0.0000
Au 7.8639 4.5402 3.2104
Er 5.2426 3.0268 2.1403

No. 17
4
Lattice="-2.6121 1.9945 0.7640 -0.2276 -1.4600 3.0333 3.4371 3.7173 2.0471" Properties=species:S:1:pos:R:3 comment="PBE-GGA NbFePd2, optimized geometry" n_ef_per_ev_cell=3.9 polymorph_energy_ev_per_atom=0.000 space_group="P4/mmm, No. 123" e_form_ev_per_atom=-0.069 magnetic_moment_mub_per_fu=2.00 pbc="T T T"
Nb 0.2987 2.1258 2.9222
Fe -1.4198 0.2672 1.8987
Pd 2.6041 2.8163 1.5510
Pd 0.8330 0.9009 0.4961

No. 18
9
Lattice="4.1212 0.0000 0.0000 0.0000 4.1212 0.0000 0.0000 0.0000 8.3609" Properties=species:S:1:pos:R:3 comment="PBE-GGA ErP2Rh5Au, optimized geometry" n_ef_per_ev_cell=6.0 space_group="P4/mmm, No. 123" e_form_ev_per_atom=-0.561 magnetic_moment_mub_per_fu=0.00 pbc="T T T"
Er 0.0000 0.0000 4.1805
P 2.0606 2.0606 1.1247
P 2.0606 2.0606 7.2362
Rh 0.0000 2.0606 2.1041
Rh 2.0606 0.0000 2.1041
Rh 0.0000 2.0606 6.2569
Rh 2.0606 0.0000 6.2569
Rh 2.0606 2.0606 4.1805
Au 0.0000 0.0000 0.0000

No. 19
9
Lattice="-1.6435 -2.1678 1.7824 5.5789 -5.8752 -1.9843 6.7202 -1.1594 4.8036" Properties=species:S:1:pos:R:3 comment="PBE-GGA LiCe2Au6, optimized geometry" n_ef_per_ev_cell=13.8 polymorph_energy_ev_per_atom=0.017 space_group="C2/m, No. 12" e_form_ev_per_atom=-0.519 magnetic_moment_mub_per_fu=2.33 pbc="T T T"
Li 0.0000 0.0000 0.0000
Ce 4.0993 -2.3447 0.9397
Ce 6.5563 -6.8578 3.6620
Au 2.9215 -5.0220 -0.4415
Au 6.9686 -7.3432 0.4907
Au 7.7340 -4.1805 5.0431
Au 5.1331 -5.4057 1.1429
Au 3.6870 -1.8593 4.1109
Au 5.5225 -3.7968 3.4588

No. 20
4
Lattice="5.1144 0.0000 0.0000 0.0000 4.8415 0.0000 0.0000 0.0000 4.8415" Properties=species:S:1:pos:R:3 comment="PBE-GGA AcGaPb2, optimized geometry" n_ef_per_ev_cell=1.8 polymorph_energy_ev_per_atom=0.000 space_group="P4/mmm, No. 123" e_form_ev_per_atom=-0.383 magnetic_moment_mub_per_fu=0.00 pbc="T T T"
Pb 0.0000 0.0000 2.4207
Pb 0.0000 2.4207 0.0000
Ac 2.5572 2.4207 2.4207
Ga 2.5572 0.0000 0.0000